{
  "formula": "La3Pr2Tl4",
  "functional": "PBE",
  "state": "relaxed",
  "lattice_angstrom": [[-0.9014, -0.3438, 5.0555], [-2.5615, -5.3098, -3.4377], [10.4182, 0.4482, 1.8881]],
  "species": ["La", "La", "Pr", "Tl", "Tl", "Pr", "Tl", "Tl", "La"],
  "fractional_positions": [[0.3549, 0.7098, 0.3076], [0.6451, 0.2902, 0.6924], [0.3513, 0.7027, 0.6890], [0.9458, 0.8915, 0.6054], [0.0542, 0.1085, 0.3946], [0.6487, 0.2973, 0.3110], [0.3055, 0.6110, 0.9647], [0.6945, 0.3890, 0.0353], [0.0000, 0.0000, 0.0000]],
  "e_form_mev_per_atom": -298,
  "rho_kg_m3": 8617,
  "dft_energy_ev_per_atom": -4.054,
  "e_above_lowest_polymorph_mev_per_atom": 40,
  "magmom_total_mub_per_fu": 0.00
}

---

{
  "formula": "YCd5Cu",
  "functional": "PBE",
  "state": "relaxed",
  "lattice_angstrom": [[-2.1411, -3.6526, 1.9395], [2.5419, 0.5605, 3.8617], [-5.1318, 4.4582, 2.7308]],
  "species": ["Cd", "Y", "Cd", "Cd", "Cd", "Cu", "Cd"],
  "fractional_positions": [[0.5000, 0.0000, 0.2987], [0.0000, 0.0000, 0.0000], [0.0000, 0.5000, 0.7013], [0.5000, 0.5000, 0.0000], [0.5000, 0.0000, 0.7013], [0.0000, 0.0000, 0.5000], [0.0000, 0.5000, 0.2987]],
  "e_form_mev_per_atom": -156,
  "rho_kg_m3": 7468,
  "dft_energy_ev_per_atom": -2.318,
  "magmom_total_mub_per_fu": 0.00
}

---

{
  "formula": "BaNa3Bi2",
  "functional": "PBE",
  "state": "relaxed",
  "lattice_angstrom": [[5.2839, 0.0000, 0.0000], [-2.6419, 9.9870, 0.0312], [0.0000, -4.5315, 8.0118]],
  "species": ["Na", "Na", "Na", "Bi", "Ba", "Bi", "Ba", "Bi", "Na", "Na", "Bi", "Na"],
  "fractional_positions": [[0.3406, 0.6811, 0.1713], [0.6872, 0.3744, 0.4782], [0.6594, 0.3189, 0.8287], [0.7811, 0.5622, 0.2662], [0.8722, 0.7445, 0.9172], [0.4916, 0.9831, 0.8245], [0.1278, 0.2555, 0.0828], [0.2189, 0.4378, 0.7338], [0.3128, 0.6256, 0.5218], [0.9440, 0.8879, 0.5915], [0.5084, 0.0169, 0.1755], [0.0560, 0.1121, 0.4085]],
  "e_form_mev_per_atom": -521,
  "rho_kg_m3": 4895,
  "dft_energy_ev_per_atom": -2.795,
  "magmom_total_mub_per_fu": 0.00
}

---

{
  "formula": "Tb4AlTl3",
  "functional": "PBE",
  "state": "relaxed",
  "lattice_angstrom": [[-0.2966, 1.0456, 3.5582], [-3.3624, -1.5818, 0.1846], [6.4796, -13.2557, 4.4353]],
  "species": ["Tl", "Tl", "Tl", "Tb", "Tb", "Al", "Tb", "Tb"],
  "fractional_positions": [[0.5000, 0.5000, 0.7572], [0.5000, 0.5000, 0.2428], [0.5000, 0.5000, 0.5000], [0.0000, 0.0000, 0.6295], [0.0000, 0.0000, 0.3705], [0.5000, 0.5000, 0.0000], [0.0000, 0.0000, 0.8858], [0.0000, 0.0000, 0.1142]],
  "e_form_mev_per_atom": -363,
  "rho_kg_m3": 9934,
  "dft_energy_ev_per_atom": -4.034,
  "magmom_total_mub_per_fu": 0.00
}

---

{
  "formula": "MnAgW2",
  "functional": "PBE",
  "state": "relaxed",
  "lattice_angstrom": [[5.2002, -0.0548, -0.0199], [-2.3624, 4.6329, -0.0199], [0.3498, 0.5643, 2.5970]],
  "species": ["Ag", "Mn", "W", "W"],
  "fractional_positions": [[0.5000, 0.0000, 0.5000], [0.0000, 0.5000, 0.5000], [0.5000, 0.5000, 0.0000], [0.0000, 0.0000, 0.0000]],
  "e_form_mev_per_atom": 528,
  "rho_kg_m3": 14129,
  "dft_energy_ev_per_atom": -8.954,
  "e_above_lowest_polymorph_mev_per_atom": 202,
  "magmom_total_mub_per_fu": 2.25
}

---

{
  "formula": "CdTeN2",
  "functional": "PBE",
  "state": "relaxed",
  "lattice_angstrom": [[2.0653, 0.0000, 6.2580], [-1.0326, 1.7886, 6.2580], [-1.0326, -1.7886, 6.2580]],
  "species": ["N", "Te", "N", "Cd"],
  "fractional_positions": [[0.1062, 0.1062, 0.1062], [0.0000, 0.0000, 0.0000], [0.8938, 0.8938, 0.8938], [0.5000, 0.5000, 0.5000]],
  "rho_kg_m3": 6418,
  "dft_energy_ev_per_atom": -4.075,
  "e_above_lowest_polymorph_mev_per_atom": 227,
  "magmom_total_mub_per_fu": 0.00,
  "raw_formation_energy_ev_per_atom": 1.102
}